1.
A plane-wave DFT calculation with PBE was carried out for a geometry-optimized BeCr3Tc structure.

Results
For the polymorph energy (0 for the lowest one), the calculation gives 0.0000 eV per atom. The value obtained for the formation enthalpy at 0 K is 18.360 kcal/mol of atoms.

Cell and atoms, written as POSCAR:
```
BeCr3Tc
1.0
3.929 0.000 0.000
0.000 3.929 0.000
0.000 0.000 3.929
Be Cr Tc
1 3 1
Cartesian
0.000 0.000 0.000 Be
0.000 0.000 1.964 Cr
0.000 1.964 0.000 Cr
1.964 0.000 0.000 Cr
1.964 1.964 1.964 Tc
```

***

2.
A plane-wave DFT calculation with PBE was carried out for a geometry-optimized Mg2SiOs2 structure.

Results
The value obtained for the uncorrected formation energy is -145 meV/atom.

Cell and atoms, written as POSCAR:
```
Mg2SiOs2
1.0
6.164 0.000 0.000
0.000 6.164 0.000
0.000 0.000 4.401
Mg Si Os
4 2 4
Cartesian
1.025 2.057 0.000 Mg
2.057 5.139 0.000 Mg
4.107 1.025 0.000 Mg
5.139 4.107 0.000 Mg
0.000 0.000 2.201 Si
3.082 3.082 2.201 Si
0.872 3.954 2.201 Os
2.210 0.872 2.201 Os
3.954 5.293 2.201 Os
5.293 2.210 2.201 Os
```

***

3.
A plane-wave DFT calculation with PBE was carried out for a geometry-optimized CaEr2Sn structure.

Results
For the polymorph energy (0 for the lowest one), the calculation gives 0.3196 eV per atom. The value obtained for the formation enthalpy at 0 K is -0.375 kcal/mol of atoms.

Cell and atoms, written as POSCAR:
```
CaEr2Sn
1.0
3.582 0.000 0.000
-1.791 3.102 0.000
0.000 0.000 34.668
Ca Er Sn
3 6 3
Cartesian
0.000 0.000 0.000 Ca
0.000 2.068 23.112 Ca
1.791 1.034 11.556 Ca
0.000 0.000 3.376 Er
0.000 0.000 31.293 Er
0.000 2.068 19.737 Er
0.000 2.068 26.488 Er
1.791 1.034 8.181 Er
1.791 1.034 14.932 Er
0.000 0.000 17.334 Sn
0.000 2.068 5.778 Sn
1.791 1.034 28.890 Sn
```

***

4.
A plane-wave DFT calculation with PBE was carried out for a geometry-optimized KSbBr3 structure.

Results
For the polymorph energy (0 for the lowest one), the calculation gives 0.0816 eV per atom. The value obtained for the uncorrected formation energy is -883 meV/atom.

Cell and atoms, written as POSCAR:
```
KSbBr3
1.0
5.788 0.000 0.000
0.000 5.788 0.000
0.000 0.000 5.788
K Sb Br
1 1 3
Cartesian
0.000 0.000 0.000 K
2.894 2.894 2.894 Sb
0.000 2.894 2.894 Br
2.894 0.000 2.894 Br
2.894 2.894 0.000 Br
```

***

5.
A plane-wave DFT calculation with PBE was carried out for a geometry-optimized La3DyBi4 structure.

Results
The value obtained for the formation enthalpy at 0 K is -23.059 kcal/mol of atoms.

Cell and atoms, written as POSCAR:
```
La3DyBi4
1.0
8.048 0.000 0.000
0.000 9.312 0.000
-2.691 0.000 7.594
La Dy Bi
6 2 8
Cartesian
-0.673 1.157 1.898 La
-2.019 3.477 5.695 La
-0.673 5.835 1.898 La
-2.019 8.155 5.695 La
3.351 3.479 1.898 La
2.006 5.832 5.695 La
2.006 1.157 5.695 Dy
3.351 8.155 1.898 Dy
0.686 3.452 3.831 Bi
2.032 5.860 0.034 Bi
-0.607 1.119 7.591 Bi
0.738 8.193 3.795 Bi
4.618 1.119 3.799 Bi
5.964 8.193 0.002 Bi
3.325 3.452 7.559 Bi
4.670 5.860 3.763 Bi
```

***

6.
A plane-wave DFT calculation with PBE was carried out for a geometry-optimized Dy4Hg3Au2 structure.

Results
The value obtained for the formation enthalpy at 0 K is -13.190 kcal/mol of atoms.

Cell and atoms, written as POSCAR:
```
Dy4Hg3Au2
1.0
4.373 -2.528 0.000
4.373 2.528 0.000
-0.015 0.000 9.911
Dy Hg Au
4 3 2
Cartesian
8.741 0.000 1.692 Dy
-0.009 0.000 8.219 Dy
2.908 0.000 3.803 Dy
5.824 0.000 6.108 Dy
-0.007 0.000 4.955 Hg
2.915 0.000 0.353 Hg
5.817 0.000 9.557 Hg
2.909 0.000 6.810 Au
5.823 0.000 3.101 Au
```